Density functional theory data (GGA-PBE) for Mn2CoPtSe6 after structural relaxation.

Geometry as CIF:
```
data_Mn2CoPtSe6
_chemical_formula_sum 'Mn8 Co4 Pt4 Se24'
_cell_length_a 11.7026
_cell_length_b 11.4427
_cell_length_c 6.4649
_cell_angle_alpha 90.00
_cell_angle_beta 101.99
_cell_angle_gamma 90.00
_space_group_name_H-M_alt 'C 1 2/c 1'
_space_group_IT_number 15
loop_
_space_group_symop_operation_xyz
'x,y,z'
'-x,-y,-z'
'-x,y,-z+1/2'
'x,-y,z+1/2'
'x+1/2,y+1/2,z'
'-x+1/2,-y+1/2,-z'
'-x+1/2,y+1/2,-z+1/2'
'x+1/2,-y+1/2,z+1/2'
loop_
_atom_site_label
_atom_site_fract_x
_atom_site_fract_y
_atom_site_fract_z
_atom_site_occupancy
Mn1 0.1681 0.0914 0.2878 1
Co1 0.0000 0.4203 0.2500 1
Pt1 0.0000 0.2548 0.7500 1
Se1 0.1063 0.4238 0.6174 1
Se2 0.1231 0.2821 0.1213 1
Se3 0.1355 0.1053 0.6448 1
```

## Properties
* DOS(E_F): 14.4 states/eV per cell
* mass density: 6.6 g/cm³
* raw formation energy: -0.26 eV per atom

=====

Density functional theory data (GGA-PBE) for Sc2TcHgB after structural relaxation.

Geometry as CIF:
```
data_Sc2TcHgB
_chemical_formula_sum 'Sc2 Tc1 Hg1 B1'
_cell_length_a 4.7114
_cell_length_b 4.7114
_cell_length_c 4.0283
_cell_angle_alpha 90.00
_cell_angle_beta 90.00
_cell_angle_gamma 90.00
_space_group_name_H-M_alt 'P 4/m m m'
_space_group_IT_number 123
_space_group_name_Hall '-P 4 2'
loop_
_atom_site_label
_atom_site_fract_x
_atom_site_fract_y
_atom_site_fract_z
_atom_site_occupancy
Sc1 0.0000 0.5000 0.0000 1
Tc1 0.0000 0.0000 0.5000 1
Hg1 0.5000 0.5000 0.5000 1
B1 0.0000 0.0000 0.0000 1
```

## Properties
* DOS(E_F): 4.8 states/eV per cell
* mass density: 7.4 g/cm³
* energy of formation from the pure elements: -0.26 eV per atom

=====

Density functional theory data (GGA-PBE) for IrRu3S after structural relaxation.

Geometry as CIF:
```
data_IrRu3S
_chemical_formula_sum 'Ir1 Ru3 S1'
_cell_length_a 4.2777
_cell_length_b 4.2777
_cell_length_c 4.2777
_cell_angle_alpha 90.00
_cell_angle_beta 90.00
_cell_angle_gamma 90.00
_space_group_name_H-M_alt 'P m -3 m'
_space_group_IT_number 221
_space_group_name_Hall '-P 4 2 3'
loop_
_atom_site_label
_atom_site_fract_x
_atom_site_fract_y
_atom_site_fract_z
_atom_site_occupancy
Ir1 0.0000 0.0000 0.0000 1
Ru1 0.0000 0.5000 0.5000 1
S1 0.5000 0.5000 0.5000 1
```

## Properties
* DOS(E_F): 5.7 states/eV per cell
* mass density: 11.2 g/cm³
* ΔE to the lowest computed polymorph: 0.0 meV per atom
* raw formation energy: 0.77 eV per atom

=====

Density functional theory data (GGA-PBE) for MgTaMn after structural relaxation.

Geometry as CIF:
```
data_MgTaMn
_chemical_formula_sum 'Mg4 Ta4 Mn4'
_cell_length_a 6.0325
_cell_length_b 6.0325
_cell_length_c 6.0325
_cell_angle_alpha 90.00
_cell_angle_beta 90.00
_cell_angle_gamma 90.00
_space_group_name_H-M_alt 'F -4 3 m'
_space_group_IT_number 216
_space_group_name_Hall 'F -4 2 3'
loop_
_atom_site_label
_atom_site_fract_x
_atom_site_fract_y
_atom_site_fract_z
_atom_site_occupancy
Mg1 0.0000 0.0000 0.0000 1
Ta1 0.0000 0.0000 0.5000 1
Mn1 0.2500 0.2500 0.7500 1
```

## Properties
* DOS(E_F): 7.5 states/eV per cell
* mass density: 7.9 g/cm³
* ΔE to the lowest computed polymorph: 570.9 meV per atom
* energy of formation from the pure elements: 0.75 eV per atom

=====

Density functional theory data (GGA-PBE) for PuThSeN2 after structural relaxation.

Geometry as CIF:
```
data_PuThSeN2
_chemical_formula_sum 'Pu2 Th2 Se2 N4'
_cell_length_a 6.6646
_cell_length_b 4.0557
_cell_length_c 7.8330
_cell_angle_alpha 90.00
_cell_angle_beta 105.66
_cell_angle_gamma 90.00
_space_group_name_H-M_alt 'P 1 21/m 1'
_space_group_IT_number 11
loop_
_space_group_symop_operation_xyz
'x,y,z'
'-x,-y,-z'
'-x,y+1/2,-z'
'x,-y+1/2,z'
loop_
_atom_site_label
_atom_site_fract_x
_atom_site_fract_y
_atom_site_fract_z
_atom_site_occupancy
Pu1 0.1731 0.2500 0.4225 1
Th1 0.1820 0.2500 0.9111 1
Se1 0.4548 0.7500 0.7369 1
N1 0.0017 0.2500 0.1307 1
N2 0.0241 0.7500 0.3886 1
```

## Properties
* DOS(E_F): 16.1 states/eV per cell
* mass density: 9.5 g/cm³
* raw formation energy: -1.59 eV per atom

=====

Density functional theory data (GGA-PBE) for La8Ir3Rh after structural relaxation.

Geometry as CIF:
```
data_La8Ir3Rh
_chemical_formula_sum 'La16 Ir6 Rh2'
_cell_length_a 17.5767
_cell_length_b 5.7932
_cell_length_c 9.2632
_cell_angle_alpha 90.00
_cell_angle_beta 108.18
_cell_angle_gamma 90.00
_space_group_name_H-M_alt 'C 1 m 1'
_space_group_IT_number 8
loop_
_space_group_symop_operation_xyz
'x,y,z'
'x,-y,z'
'x+1/2,y+1/2,z'
'x+1/2,-y+1/2,z'
loop_
_atom_site_label
_atom_site_fract_x
_atom_site_fract_y
_atom_site_fract_z
_atom_site_occupancy
La1 0.0000 0.0000 0.0000 1
La2 0.0400 0.5000 0.3185 1
La3 0.1038 0.0000 0.6520 1
La4 0.2194 0.0000 0.3596 1
La5 0.2824 0.5000 0.6943 1
La6 0.3227 0.0000 0.0125 1
La7 0.3897 0.5000 0.3417 1
La8 0.4329 0.0000 0.6696 1
Ir1 0.0531 0.0000 0.3178 1
Ir2 0.2695 0.0000 0.6931 1
Ir3 0.3752 0.0000 0.3261 1
Rh1 0.4497 0.5000 0.6922 1
```

## Properties
* DOS(E_F): 17.4 states/eV per cell
* mass density: 6.6 g/cm³
* energy of formation from the pure elements: -0.52 eV per atom

=====

Density functional theory data (GGA-PBE) for CoNiHg after structural relaxation.

Geometry as CIF:
```
data_CoNiHg
_chemical_formula_sum 'Co4 Ni4 Hg4'
_cell_length_a 5.8369
_cell_length_b 5.8369
_cell_length_c 5.8369
_cell_angle_alpha 90.00
_cell_angle_beta 90.00
_cell_angle_gamma 90.00
_space_group_name_H-M_alt 'F -4 3 m'
_space_group_IT_number 216
_space_group_name_Hall 'F -4 2 3'
loop_
_atom_site_label
_atom_site_fract_x
_atom_site_fract_y
_atom_site_fract_z
_atom_site_occupancy
Co1 0.0000 0.0000 0.0000 1
Ni1 0.2500 0.2500 0.7500 1
Hg1 0.0000 0.0000 0.5000 1
```

## Properties
* DOS(E_F): 15.3 states/eV per cell
* mass density: 10.6 g/cm³
* ΔE to the lowest computed polymorph: 246.5 meV per atom
* energy of formation from the pure elements: 0.57 eV per atom

=====

Density functional theory data (GGA-PBE) for TaHgMo after structural relaxation.

Geometry as CIF:
```
data_TaHgMo
_chemical_formula_sum 'Ta2 Hg2 Mo2'
_cell_length_a 2.8035
_cell_length_b 2.8035
_cell_length_c 13.8643
_cell_angle_alpha 90.00
_cell_angle_beta 90.00
_cell_angle_gamma 90.00
_space_group_name_H-M_alt 'I 4 m m'
_space_group_IT_number 107
_space_group_name_Hall 'I 4 -2'
loop_
_atom_site_label
_atom_site_fract_x
_atom_site_fract_y
_atom_site_fract_z
_atom_site_occupancy
Ta1 0.0000 0.0000 0.0000 1
Hg1 0.0000 0.0000 0.6699 1
Mo1 0.0000 0.0000 0.3358 1
```

## Properties
* DOS(E_F): 5.0 states/eV per cell
* mass density: 14.6 g/cm³
* ΔE to the lowest computed polymorph: 105.2 meV per atom
* energy of formation from the pure elements: 0.41 eV per atom

=====

Density functional theory data (GGA-PBE) for LiHfNiPt after structural relaxation.

Geometry as CIF:
```
data_LiHfNiPt
_chemical_formula_sum 'Li4 Hf4 Ni4 Pt4'
_cell_length_a 6.2382
_cell_length_b 6.2382
_cell_length_c 6.2382
_cell_angle_alpha 90.00
_cell_angle_beta 90.00
_cell_angle_gamma 90.00
_space_group_name_H-M_alt 'F -4 3 m'
_space_group_IT_number 216
_space_group_name_Hall 'F -4 2 3'
loop_
_atom_site_label
_atom_site_fract_x
_atom_site_fract_y
_atom_site_fract_z
_atom_site_occupancy
Li1 0.0000 0.0000 0.0000 1
Hf1 0.0000 0.0000 0.5000 1
Ni1 0.2500 0.2500 0.2500 1
Pt1 0.2500 0.2500 0.7500 1
```

## Properties
* DOS(E_F): 11.0 states/eV per cell
* mass density: 12.0 g/cm³
* energy of formation from the pure elements: -0.63 eV per atom

=====

Density functional theory data (GGA-PBE) for LuNpSn2 after structural relaxation.

Geometry as CIF:
```
data_LuNpSn2
_chemical_formula_sum 'Lu1 Np1 Sn2'
_cell_length_a 4.8513
_cell_length_b 4.8513
_cell_length_c 4.3609
_cell_angle_alpha 90.00
_cell_angle_beta 90.00
_cell_angle_gamma 90.00
_space_group_name_H-M_alt 'P 4/m m m'
_space_group_IT_number 123
_space_group_name_Hall '-P 4 2'
loop_
_atom_site_label
_atom_site_fract_x
_atom_site_fract_y
_atom_site_fract_z
_atom_site_occupancy
Lu1 0.0000 0.0000 0.0000 1
Np1 0.5000 0.5000 0.0000 1
Sn1 0.0000 0.5000 0.5000 1
```

## Properties
* DOS(E_F): 10.1 states/eV per cell
* mass density: 10.5 g/cm³
* ΔE to the lowest computed polymorph: 0.0 meV per atom
* energy of formation from the pure elements: -0.23 eV per atom